1.
The following is a DFT calculation (PBE) of crystalline ZrTaCuSb at its relaxed geometry.

Summary:
crystal system	cubic
total magnetic moment	0.010	μB/atom
distance to the lowest polymorph of the same formula	0.000	eV per atom
ρ	10.077	Mg/m³
space-group type	No. 216
final energy	-6.750	eV/atom

Cell lengths 6.706, 6.706, 6.706 Å; angles 90.00, 90.00, 90.00 degrees
Fractional positions:
Zr 0.000 0.000 0.000
Zr 0.000 0.500 0.500
Zr 0.500 0.000 0.500
Zr 0.500 0.500 0.000
Ta 0.250 0.250 0.250
Ta 0.250 0.750 0.750
Ta 0.750 0.250 0.750
Ta 0.750 0.750 0.250
Cu 0.250 0.250 0.750
Cu 0.250 0.750 0.250
Cu 0.750 0.250 0.250
Cu 0.750 0.750 0.750
Sb 0.000 0.000 0.500
Sb 0.000 0.500 0.000
Sb 0.500 0.000 0.000
Sb 0.500 0.500 0.500



2.
The following is a DFT calculation (PBE) of crystalline TlFePtAu at its relaxed geometry.

Summary:
crystal system	cubic
total magnetic moment	0.731	μB/atom
distance to the lowest polymorph of the same formula	0.000	eV per atom
ρ	15.576	Mg/m³
space-group type	No. 216
final energy	-4.767	eV/atom

Cell lengths 6.528, 6.528, 6.528 Å; angles 90.00, 90.00, 90.00 degrees
Fractional positions:
Tl 0.000 0.000 0.000
Tl 0.000 0.500 0.500
Tl 0.500 0.000 0.500
Tl 0.500 0.500 0.000
Fe 0.250 0.250 0.250
Fe 0.250 0.750 0.750
Fe 0.750 0.250 0.750
Fe 0.750 0.750 0.250
Pt 0.250 0.250 0.750
Pt 0.250 0.750 0.250
Pt 0.750 0.250 0.250
Pt 0.750 0.750 0.750
Au 0.000 0.000 0.500
Au 0.000 0.500 0.000
Au 0.500 0.000 0.000
Au 0.500 0.500 0.500



3.
The following is a DFT calculation (PBE) of crystalline Er3Fe2Sn4 at its relaxed geometry.

Summary:
crystal system	monoclinic
total magnetic moment	0.378	μB/atom
ρ	9.036	Mg/m³
space-group type	No. 12
final energy	-5.541	eV/atom

Cell lengths 5.918, 5.918, 8.423 Å; angles 106.64, 106.64, 45.49 degrees
Fractional positions:
Er 0.000 0.000 0.000
Er 0.374 0.374 0.316
Er 0.626 0.626 0.684
Fe 0.316 0.316 0.624
Fe 0.684 0.684 0.376
Sn 0.093 0.093 0.395
Sn 0.293 0.293 0.914
Sn 0.707 0.707 0.086
Sn 0.907 0.907 0.605



4.
The following is a DFT calculation (PBE) of crystalline NiBi3Cl at its relaxed geometry.

Summary:
crystal system	tetragonal
total magnetic moment	0.007	μB/atom
ρ	8.863	Mg/m³
space-group type	No. 140
final energy	-3.886	eV/atom

Cell lengths 7.356, 7.356, 7.356 Å; angles 122.46, 122.46, 85.78 degrees
Fractional positions:
Ni 0.000 0.000 0.000
Ni 0.500 0.500 0.000
Bi 0.159 0.659 0.818
Bi 0.250 0.250 0.000
Bi 0.341 0.159 0.500
Bi 0.659 0.841 0.500
Bi 0.750 0.750 0.000
Bi 0.841 0.341 0.182
Cl 0.250 0.750 0.500
Cl 0.750 0.250 0.500